Crystalline Li2V3O6 at its relaxed geometry. Source: Alexandria via LeMat-Bulk, functional GGA+U.

The structure in POSCAR format:
```
Li2V3O6
1.0
-0.053 -1.019 5.075
0.053 -3.867 -3.442
9.891 -1.778 0.718
V O Li
6 12 4
Direct
0.089 0.911 0.500 V
0.752 0.248 0.500 V
0.249 0.751 0.000 V
0.913 0.087 0.000 V
0.420 0.580 0.500 V
0.584 0.416 0.000 V
0.689 0.542 0.611 O
0.797 0.947 0.392 O
0.053 0.203 0.608 O
0.538 0.703 0.108 O
0.391 0.876 0.607 O
0.903 0.405 0.109 O
0.200 0.040 0.108 O
0.458 0.311 0.389 O
0.960 0.800 0.892 O
0.124 0.609 0.393 O
0.595 0.097 0.891 O
0.297 0.462 0.892 O
0.834 0.679 0.249 Li
0.177 0.343 0.250 Li
0.321 0.166 0.751 Li
0.657 0.823 0.750 Li
```

Calculated values
Magnetic moment in Bohr magnetons per cell: 10.000
Total DFT energy (no corrections) in eV/atom: -7.14
SG: C2 (5)